Compound: PrSm12Th7
Source: Alexandria
Functional: GGA-PBE
Structure: relaxed

```
20
Lattice="9.447 0.000 -3.340 -4.724 8.182 -3.340 0.000 0.000 10.020" Properties=species:S:1:pos:R:3 pbc="T T T"
Sm 5.451 1.901 6.183
Sm 3.645 2.510 -0.498
Sm -0.746 2.510 6.418
Sm -2.177 7.572 3.078
Sm 5.075 3.770 2.843
Sm 1.079 5.671 3.838
Sm -0.727 6.280 -2.843
Sm 6.900 0.609 0.262
Sm -0.352 4.412 0.498
Sm 2.922 6.280 -0.262
Sm 5.469 5.671 -3.078
Sm 1.801 1.901 3.602
Th -2.362 4.091 3.340
Th -2.362 4.091 -1.670
Th 2.362 4.091 1.670
Th 4.724 0.000 3.340
Th 2.362 4.091 -3.340
Th 0.000 0.000 5.010
Th 4.724 0.000 -1.670
Pr 0.000 0.000 0.000
```

- DOS at the Fermi energy (states/eV/f.u.) = 43.9
- volume (Å³/f.u.) = 774.5
- ΔE_f (eV per atom) = 0.872
- SG = Im-3
- spin magnetization (μB per cell) = 0.01